Entry 1:
Density functional theory data (PBEsol) for CaMg30TiO32 after structural relaxation.

Structure (CIF):
```
data_CaMg30TiO32
_space_group_name_H-M_alt 'P 4/m m m'
_space_group_IT_number 123
_space_group_name_Hall '-P 4 2'
_cell_length_a 8.498
_cell_length_b 8.498
_cell_length_c 8.496
_cell_angle_alpha 90.00
_cell_angle_beta 90.00
_cell_angle_gamma 90.00
loop_
_atom_site_label
_atom_site_type_symbol
_atom_site_fract_x
_atom_site_fract_y
_atom_site_fract_z
Ca1 Ca 0.000 0.000 0.000
Mg1 Mg 0.000 0.254 0.252
Mg2 Mg 0.000 0.500 0.000
Mg3 Mg 0.000 0.500 0.500
Mg4 Mg 0.250 0.250 0.500
Mg5 Mg 0.251 0.500 0.250
Mg6 Mg 0.253 0.253 0.000
Mg7 Mg 0.500 0.500 0.000
Mg8 Mg 0.500 0.500 0.500
Ti1 Ti 0.000 0.000 0.500
O1 O 0.000 0.000 0.259
O2 O 0.000 0.257 0.500
O3 O 0.000 0.262 0.000
O4 O 0.000 0.500 0.251
O5 O 0.250 0.250 0.250
O6 O 0.251 0.500 0.500
O7 O 0.252 0.500 0.000
O8 O 0.500 0.500 0.250
```

Computed properties:
The energy relative to the elements, uncorrected comes out at -173.18 eV per formula unit. As for the total moment: 0.0298 μB/atom.



Entry 2:
Density functional theory data (PBEsol) for BeNi3N after structural relaxation.

Structure (CIF):
```
data_BeNi3N
_space_group_name_H-M_alt 'P m -3 m'
_space_group_IT_number 221
_space_group_name_Hall '-P 4 2 3'
_cell_length_a 3.638
_cell_length_b 3.638
_cell_length_c 3.638
_cell_angle_alpha 90.00
_cell_angle_beta 90.00
_cell_angle_gamma 90.00
loop_
_atom_site_label
_atom_site_type_symbol
_atom_site_fract_x
_atom_site_fract_y
_atom_site_fract_z
Be1 Be 0.000 0.000 0.000
Ni1 Ni 0.000 0.500 0.500
N1 N 0.500 0.500 0.500
```

Computed properties:
The energy relative to the elements, uncorrected comes out at -0.67 eV per formula unit. As for the total moment: 0.0001 μB/atom.



Entry 3:
Density functional theory data (PBEsol) for MgTiTe2 after structural relaxation.

Structure (CIF):
```
data_MgTiTe2
_space_group_name_H-M_alt 'R -3 m'
_space_group_IT_number 166
_space_group_name_Hall '-R 3 2"'
_cell_length_a 4.0425
_cell_length_b 4.0425
_cell_length_c 25.8972
_cell_angle_alpha 90.00
_cell_angle_beta 90.00
_cell_angle_gamma 120.00
loop_
_atom_site_label
_atom_site_type_symbol
_atom_site_fract_x
_atom_site_fract_y
_atom_site_fract_z
Mg1 Mg 0.0000 0.0000 0.0000
Ti1 Ti 0.0000 0.0000 0.5000
Te1 Te 0.0000 0.0000 0.3990
```

Computed properties:
The energy relative to the elements, uncorrected comes out at 0.14 eV per formula unit. As for the total moment: 0.5076 μB/atom.



Entry 4:
Density functional theory data (PBEsol) for TiSiP2S after structural relaxation.

Structure (CIF):
```
data_TiSiP2S
_space_group_name_H-M_alt 'P 4/m m m'
_space_group_IT_number 123
_space_group_name_Hall '-P 4 2'
_cell_length_a 4.427
_cell_length_b 4.427
_cell_length_c 4.421
_cell_angle_alpha 90.00
_cell_angle_beta 90.00
_cell_angle_gamma 90.00
loop_
_atom_site_label
_atom_site_type_symbol
_atom_site_fract_x
_atom_site_fract_y
_atom_site_fract_z
Ti1 Ti 0.000 0.000 0.000
Si1 Si 0.500 0.500 0.500
P1 P 0.000 0.500 0.500
S1 S 0.500 0.500 0.000
```

Computed properties:
The energy relative to the elements, uncorrected comes out at 1.91 eV per formula unit. As for the total moment: 0.1679 μB/atom. The excess energy over the best structure of this formula in the dataset comes out at 46 meV per atom.



Entry 5:
Density functional theory data (PBEsol) for CrSnSb2I after structural relaxation.

Structure (CIF):
```
data_CrSnSb2I
_space_group_name_H-M_alt 'P 4/m m m'
_space_group_IT_number 123
_space_group_name_Hall '-P 4 2'
_cell_length_a 5.577
_cell_length_b 5.577
_cell_length_c 5.805
_cell_angle_alpha 90.00
_cell_angle_beta 90.00
_cell_angle_gamma 90.00
loop_
_atom_site_label
_atom_site_type_symbol
_atom_site_fract_x
_atom_site_fract_y
_atom_site_fract_z
Cr1 Cr 0.000 0.000 0.000
Sn1 Sn 0.500 0.500 0.500
Sb1 Sb 0.000 0.500 0.500
I1 I 0.500 0.500 0.000
```

Computed properties:
The energy relative to the elements, uncorrected comes out at 5.40 eV per formula unit. As for the total moment: 0.7884 μB/atom.



Entry 6:
Density functional theory data (PBEsol) for CsNa3Cu after structural relaxation.

Structure (CIF):
```
data_CsNa3Cu
_space_group_name_H-M_alt 'P m -3 m'
_space_group_IT_number 221
_space_group_name_Hall '-P 4 2 3'
_cell_length_a 6.646
_cell_length_b 6.646
_cell_length_c 6.646
_cell_angle_alpha 90.00
_cell_angle_beta 90.00
_cell_angle_gamma 90.00
loop_
_atom_site_label
_atom_site_type_symbol
_atom_site_fract_x
_atom_site_fract_y
_atom_site_fract_z
Cs1 Cs 0.000 0.000 0.000
Na1 Na 0.000 0.000 0.500
Cu1 Cu 0.500 0.500 0.500
```

Computed properties:
As for the formation enthalpy at 0 K: 1.089 eV/atom. As for the total moment: 0.0001 μB/atom.



Entry 7:
Density functional theory data (PBEsol) for TaCuMoAs2 after structural relaxation.

Structure (CIF):
```
data_TaCuMoAs2
_space_group_name_H-M_alt 'P 4/m m m'
_space_group_IT_number 123
_space_group_name_Hall '-P 4 2'
_cell_length_a 4.850
_cell_length_b 4.850
_cell_length_c 4.699
_cell_angle_alpha 90.00
_cell_angle_beta 90.00
_cell_angle_gamma 90.00
loop_
_atom_site_label
_atom_site_type_symbol
_atom_site_fract_x
_atom_site_fract_y
_atom_site_fract_z
Ta1 Ta 0.000 0.000 0.000
Cu1 Cu 0.000 0.000 0.500
Mo1 Mo 0.500 0.500 0.500
As1 As 0.000 0.500 0.000
```

Computed properties:
As for the formation enthalpy at 0 K: 1.257 eV/atom. As for the total moment: 0.7475 μB/atom.



Entry 8:
Density functional theory data (PBEsol) for RbLiCr2 after structural relaxation.

Structure (CIF):
```
data_RbLiCr2
_space_group_name_H-M_alt 'F m -3 m'
_space_group_IT_number 225
_space_group_name_Hall '-F 4 2 3'
_cell_length_a 7.664
_cell_length_b 7.664
_cell_length_c 7.664
_cell_angle_alpha 90.00
_cell_angle_beta 90.00
_cell_angle_gamma 90.00
loop_
_atom_site_label
_atom_site_type_symbol
_atom_site_fract_x
_atom_site_fract_y
_atom_site_fract_z
Rb1 Rb 0.000 0.000 0.000
Li1 Li 0.000 0.000 0.500
Cr1 Cr 0.250 0.250 0.250
```

Computed properties:
As for the formation enthalpy at 0 K: 1.511 eV/atom. As for the total moment: 2.4853 μB/atom.



Entry 9:
Density functional theory data (PBEsol) for MnAsP4 after structural relaxation.

Structure (CIF):
```
data_MnAsP4
_space_group_name_H-M_alt 'F -4 3 m'
_space_group_IT_number 216
_space_group_name_Hall 'F -4 2 3'
_cell_length_a 7.117
_cell_length_b 7.117
_cell_length_c 7.117
_cell_angle_alpha 90.00
_cell_angle_beta 90.00
_cell_angle_gamma 90.00
loop_
_atom_site_label
_atom_site_type_symbol
_atom_site_fract_x
_atom_site_fract_y
_atom_site_fract_z
Mn1 Mn 0.000 0.000 0.000
As1 As 0.250 0.250 0.750
P1 P 0.126 0.126 0.374
```

Computed properties:
As for the formation enthalpy at 0 K: 0.636 eV/atom. As for the total moment: 0.6150 μB/atom.



Entry 10:
Density functional theory data (PBEsol) for TlHg2S2 after structural relaxation.

Structure (CIF):
```
data_TlHg2S2
_space_group_name_H-M_alt 'I 4/m m m'
_space_group_IT_number 139
_space_group_name_Hall '-I 4 2'
_cell_length_a 4.946
_cell_length_b 4.946
_cell_length_c 9.659
_cell_angle_alpha 90.00
_cell_angle_beta 90.00
_cell_angle_gamma 90.00
loop_
_atom_site_label
_atom_site_type_symbol
_atom_site_fract_x
_atom_site_fract_y
_atom_site_fract_z
Tl1 Tl 0.000 0.000 0.000
Hg1 Hg 0.000 0.000 0.359
S1 S 0.000 0.500 0.250
```

Computed properties:
The energy relative to the elements, uncorrected comes out at 0.00 eV per formula unit. As for the total moment: 0.0000 μB/atom.



Entry 11:
Density functional theory data (PBEsol) for NaAg2Te2 after structural relaxation.

Structure (CIF):
```
data_NaAg2Te2
_space_group_name_H-M_alt 'I 4/m m m'
_space_group_IT_number 139
_space_group_name_Hall '-I 4 2'
_cell_length_a 4.099
_cell_length_b 4.099
_cell_length_c 15.276
_cell_angle_alpha 90.00
_cell_angle_beta 90.00
_cell_angle_gamma 90.00
loop_
_atom_site_label
_atom_site_type_symbol
_atom_site_fract_x
_atom_site_fract_y
_atom_site_fract_z
Na1 Na 0.000 0.000 0.000
Ag1 Ag 0.000 0.500 0.250
Te1 Te 0.000 0.000 0.377
```

Computed properties:
The energy relative to the elements, uncorrected comes out at -1.38 eV per formula unit. As for the total moment: 0.0000 μB/atom.



Entry 12:
Density functional theory data (PBEsol) for CaSc2PdO after structural relaxation.

Structure (CIF):
```
data_CaSc2PdO
_space_group_name_H-M_alt 'P 4/m m m'
_space_group_IT_number 123
_space_group_name_Hall '-P 4 2'
_cell_length_a 4.268
_cell_length_b 4.268
_cell_length_c 4.780
_cell_angle_alpha 90.00
_cell_angle_beta 90.00
_cell_angle_gamma 90.00
loop_
_atom_site_label
_atom_site_type_symbol
_atom_site_fract_x
_atom_site_fract_y
_atom_site_fract_z
Ca1 Ca 0.000 0.000 0.000
Sc1 Sc 0.000 0.500 0.500
Pd1 Pd 0.500 0.500 0.000
O1 O 0.000 0.000 0.500
```

Computed properties:
The energy relative to the elements, uncorrected comes out at -7.17 eV per formula unit. As for the total moment: 0.0001 μB/atom.